## AcThNiPd (PBE)

Data for crystalline AcThNiPd at its relaxed geometry.

a b c (Å): 5.178 5.178 5.178
angles (deg): 60.00 60.00 60.00
Fractional positions:
Ac: 0.000 0.000 0.000
Th: 0.500 0.500 0.500
Ni: 0.750 0.750 0.750
Pd: 0.250 0.250 0.250

Computed properties:
The value obtained for the total energy is -23.9 eV per cell. For the energy of formation from the pure elements, the calculation gives -0.348 eV/atom.